The following is a DFT calculation (GGA-PBE) of an optimized crystal structure of TaPdAu2.

## Properties
Density of states at the Fermi level in states/eV/f.u.: 2.255
Energy above the lowest structure with this stoichiometry in meV/atom: 57
ρ in Mg/m³: 16.6
Crystal system: cubic

Lattice parameters (Å, degrees): 4.5869 4.5869 4.5869 60.00 60.00 60.00
Closest atoms and distances in Å follow each position.
Fractional coordinates of all 4 atoms:
Au  0.2500  0.2500  0.2500  4 Ta 2.81, 4 Pd 2.81
Au  0.7500  0.7500  0.7500  4 Ta 2.81, 4 Pd 2.81
Pd  0.0000  0.0000  0.0000  8 Au 2.81
Ta  0.5000  0.5000  0.5000  8 Au 2.81